Here is a crystal of NiTe2Pb relaxed with PBEsol from Alexandria. Energies are from meta-GGA SCAN.

Results
ΔE_f (raw): 0.397 eV/atom

Lattice parameters (Å, degrees): 3.2659 3.2659 32.7881 90.00 90.00 120.00
Space group R-3m (No. 166, hexagonal axes)
One atom of each set of equivalent atoms:
Ni (0.0000, 0.0000, 0.0000) (multiplicity 3)
Te (0.0000, 0.0000, 0.0731) (multiplicity 6)
Pb (0.0000, 0.0000, 0.5000) (multiplicity 3)

Here is a crystal of NiTePb2 relaxed with PBEsol from Alexandria. Energies are from meta-GGA SCAN.

Results
ΔE_f (raw): 0.084 eV/atom

Lattice parameters (Å, degrees): 3.476 3.903 14.681 90.00 90.00 90.00
Space group Immm (No. 71)
One atom of each set of equivalent atoms:
Ni (0.000, 0.000, 0.000) (multiplicity 2)
Te (0.000, 0.000, 0.500) (multiplicity 2)
Pb (0.000, 0.500, 0.331) (multiplicity 4)

Here is a crystal of TiNiPb2 relaxed with PBEsol from Alexandria. Energies are from meta-GGA SCAN.

Results
Energy of formation: 0.283 eV/atom

Lattice parameters (Å, degrees): 6.762 6.762 6.762 90.00 90.00 90.00
Space group Fm-3m (No. 225)
One atom of each set of equivalent atoms:
Ti (0.000, 0.000, 0.000) (multiplicity 4)
Ni (0.000, 0.000, 0.500) (multiplicity 4)
Pb (0.250, 0.250, 0.250) (multiplicity 8)

Here is a crystal of YTiNi2Pb relaxed with PBEsol from Alexandria. Energies are from meta-GGA SCAN.

Results
Energy of formation: 1.216 eV/atom

Lattice parameters (Å, degrees): 4.508 4.508 5.598 90.00 90.00 90.00
Space group P4/mmm (No. 123)
One atom of each set of equivalent atoms:
Y (0.000, 0.000, 0.000) (multiplicity 1)
Ti (0.500, 0.500, 0.500) (multiplicity 1)
Ni (0.000, 0.500, 0.000) (multiplicity 2)
Pb (0.000, 0.000, 0.500) (multiplicity 1)

Here is a crystal of TlNiPb relaxed with PBEsol from Alexandria. Energies are from meta-GGA SCAN.

Results
Energy of formation: 0.688 eV/atom

Lattice parameters (Å, degrees): 6.679 6.679 6.679 90.00 90.00 90.00
Space group F-43m (No. 216)
One atom of each set of equivalent atoms:
Tl (0.000, 0.000, 0.000) (multiplicity 4)
Ni (0.000, 0.000, 0.500) (multiplicity 4)
Pb (0.250, 0.250, 0.250) (multiplicity 4)

Here is a crystal of TmNiPb relaxed with PBEsol from Alexandria. Energies are from meta-GGA SCAN.

Results
Energy of formation: -0.541 eV/atom

Lattice parameters (Å, degrees): 6.973 4.453 7.666 90.00 90.00 90.00
Space group Pnma (No. 62)
One atom of each set of equivalent atoms:
Tm (0.012, 0.250, 0.199) (multiplicity 4)
Ni (0.215, 0.750, 0.416) (multiplicity 4)
Pb (0.187, 0.250, 0.586) (multiplicity 4)